Entry P
First-principles (PBE) data for CuPb2Cl after structural relaxation, as listed in the Alexandria database.

POSCAR file:
```
CuPb2Cl
1.0
3.508 0.000 0.000
0.000 7.608 0.042
0.000 4.372 3.787
Pb Cu Cl
2 1 1
Cartesian
1.754 3.804 0.021 Pb
0.000 0.000 0.000 Pb
0.000 2.186 1.893 Cu
1.754 5.990 1.914 Cl
```

The calculation puts the density of states at the Fermi level at 0.4078 states/eV/atom. The calculated volume comes out at 100.4 Å³/cell.

Entry Q
First-principles (PBE) data for CuPb2Cl after structural relaxation, as listed in the Alexandria database.

POSCAR file:
```
CuPb2Cl
1.0
5.213 0.000 0.000
2.607 4.515 0.000
2.607 1.505 4.257
Cl Cu Pb
1 1 2
Cartesian
5.213 3.010 2.128 Cl
2.607 1.505 1.064 Cu
7.820 4.515 3.193 Pb
0.000 0.000 0.000 Pb
```

The calculation puts the density of states at the Fermi level at 1.0256 states/eV/atom. The calculated volume comes out at 100.2 Å³/cell.

Structures ranked by computed energy, the most stable listed first: entry P, entry Q.

Entry P
First-principles (PBE) data for CuPb2Cl after structural relaxation, as listed in the Alexandria database.

POSCAR file:
```
CuPb2Cl
1.0
3.379 0.000 0.000
0.000 3.379 0.000
0.000 0.000 8.674
Pb Cl Cu
2 1 1
Cartesian
1.690 1.690 2.193 Pb
0.000 0.000 8.203 Pb
0.000 0.000 4.992 Cl
1.690 1.690 6.298 Cu
```

The calculation puts the density of states at the Fermi level at 0.3966 states/eV/atom. The calculated volume comes out at 99.1 Å³/cell.

Entry Q
First-principles (PBE) data for CuPb2Cl after structural relaxation, as listed in the Alexandria database.

POSCAR file:
```
CuPb2Cl
1.0
-3.403 -0.514 -0.347
0.782 -6.113 1.382
-0.618 0.969 4.632
Pb Cu Cl
2 1 1
Cartesian
-1.310 -3.313 0.518 Pb
0.000 0.000 0.000 Pb
0.082 -2.572 3.007 Cu
-2.011 0.227 2.143 Cl
```

The calculation puts the density of states at the Fermi level at 0.5753 states/eV/atom. The calculated volume comes out at 104.3 Å³/cell.

Entry R
First-principles (PBE) data for CuPb2Cl after structural relaxation, as listed in the Alexandria database.

POSCAR file:
```
CuPb2Cl
1.0
3.455 0.000 0.000
0.000 3.456 0.000
0.000 0.000 8.124
Pb Cl Cu
2 1 1
Cartesian
0.000 0.000 4.284 Pb
0.000 0.000 7.902 Pb
1.728 1.728 2.031 Cl
1.728 1.728 6.093 Cu
```

The calculation puts the density of states at the Fermi level at 0.7697 states/eV/atom. The calculated volume comes out at 97.0 Å³/cell.

Entry S
First-principles (PBE) data for CuPb2Cl after structural relaxation, as listed in the Alexandria database.

POSCAR file:
```
CuPb2Cl
1.0
-2.053 -4.934 0.502
4.487 -2.815 0.868
-1.565 4.364 2.704
Pb Cu Cl
2 1 1
Cartesian
1.217 -3.874 0.685 Pb
0.000 0.000 0.000 Pb
-1.201 -2.222 1.946 Cu
2.069 -1.162 2.129 Cl
```

The calculation puts the density of states at the Fermi level at 0.4618 states/eV/atom. The calculated volume comes out at 97.6 Å³/cell.

Structures ranked by computed energy, the most stable listed first: entry R, entry P, entry Q, entry S.